A geometry-optimized LaMnO3 structure, computed with GGA+U.

```
data_LaMnO3
_symmetry_space_group_name_H-M 'I -4 m 2'
_symmetry_Int_Tables_number 119
_symmetry_space_group_name_Hall 'I -4 -2'
_cell_length_a 4.168
_cell_length_b 4.168
_cell_length_c 18.749
_cell_angle_alpha 90.00
_cell_angle_beta 90.00
_cell_angle_gamma 90.00
loop_
_atom_site_label
_atom_site_fract_x
_atom_site_fract_y
_atom_site_fract_z
La1 0.000 0.000 0.000
La2 0.000 0.500 0.250
Mn1 0.000 0.500 0.648
O1 0.000 0.000 0.300
O2 0.000 0.250 0.109
```

Values from the calculation:
Volume: 325.7 Å³/cell
E_tot: -141.18 eV for the cell shown